VASP calculation (PBEsol) on a geometry-optimized BaTl2Ga2 structure.

Cell: 4.8903 4.8903 11.0787 Å, 90.00 90.00 90.00°
With the nearest neighbours (Å) after each atom.
Atoms (fractional coordinates):
Ba 0.0000 0.0000 0.0000  8 Ga 3.68, 8 Tl 3.69
Ba 0.5000 0.5000 0.5000  8 Ga 3.68, 8 Tl 3.69
Tl 0.0000 0.5000 0.2500  4 Ga 2.88
Tl 0.0000 0.5000 0.7500  4 Ga 2.88
Tl 0.5000 0.0000 0.2500  4 Ga 2.88
Tl 0.5000 0.0000 0.7500  4 Ga 2.88
Ga 0.0000 0.0000 0.3873  1 Ga 2.50
Ga 0.0000 0.0000 0.6127  1 Ga 2.50
Ga 0.5000 0.5000 0.1127  1 Ga 2.50
Ga 0.5000 0.5000 0.8873  1 Ga 2.50

Properties
The calculated total energy comes out at -3.16 eV per atom. The density of states at the Fermi level comes out at 0.285 states/eV/atom. For the size of the total moment, the calculation gives 0.000 μB per cell. The volume comes out at 132 Å³/f.u.


VASP calculation (PBEsol) on a geometry-optimized Ba3SiGe structure.

Cell: 6.1346 6.1346 6.1346 Å, 90.00 90.00 90.00°
With the nearest neighbours (Å) after each atom.
Atoms (fractional coordinates):
Ba 0.0000 0.0000 0.5000  2 Ge 3.07
Ba 0.0000 0.5000 0.0000  2 Ge 3.07
Ba 0.5000 0.0000 0.0000  2 Ge 3.07
Si 0.5000 0.5000 0.5000  12 Ba 4.34
Ge 0.0000 0.0000 0.0000  6 Ba 3.07

Properties
Its uncorrected formation energy is 0.82 eV/f.u. The density of states at the Fermi level comes out at 1.809 states/eV/atom. For the size of the total moment, the calculation gives 1.183 μB per cell. The volume comes out at 231 Å³/f.u.


VASP calculation (PBEsol) on a geometry-optimized TaTe2AsN structure.

Cell: 5.3852 5.3852 3.5463 Å, 90.00 90.00 90.00°
With the nearest neighbours (Å) after each atom.
Atoms (fractional coordinates):
Ta 0.0000 0.0000 0.0000  8 Te 3.22, 2 Ta 3.55
Te 0.0000 0.5000 0.5000  2 As 2.69
Te 0.5000 0.0000 0.5000  2 As 2.69
As 0.5000 0.5000 0.5000  2 N 1.77
N 0.5000 0.5000 0.0000  2 As 1.77

Properties
Its uncorrected formation energy is 5.43 eV/f.u. The density of states at the Fermi level comes out at 1.159 states/eV/atom. For the size of the total moment, the calculation gives 1.022 μB per cell. The volume comes out at 103 Å³/f.u.


VASP calculation (PBEsol) on a geometry-optimized LiRhAu2 structure.

Cell: 5.8266 7.4146 2.7658 Å, 90.00 90.00 90.00°
With the nearest neighbours (Å) after each atom.
Atoms (fractional coordinates):
Li 0.0000 0.0000 0.0000  8 Au 2.73, 2 Li 2.77, 2 Rh 2.91
Li 0.5000 0.5000 0.0000  8 Au 2.73, 2 Li 2.77, 2 Rh 2.91
Rh 0.0000 0.5000 0.0000  8 Au 2.73, 2 Rh 2.77, 2 Li 2.91
Rh 0.5000 0.0000 0.0000  8 Au 2.73, 2 Rh 2.77, 2 Li 2.91
Au 0.2500 0.2500 0.5000  4 Li 2.73, 4 Rh 2.73, 4 Au 2.77-2.91
Au 0.2500 0.7500 0.5000  4 Li 2.73, 4 Rh 2.73, 4 Au 2.77-2.91
Au 0.7500 0.2500 0.5000  4 Li 2.73, 4 Rh 2.73, 4 Au 2.77-2.91
Au 0.7500 0.7500 0.5000  4 Li 2.73, 4 Rh 2.73, 4 Au 2.77-2.91

Properties
The calculated total energy comes out at -4.74 eV per atom. The density of states at the Fermi level comes out at 0.563 states/eV/atom. For the size of the total moment, the calculation gives 0.001 μB per cell. The volume comes out at 60 Å³/f.u.


VASP calculation (PBEsol) on a geometry-optimized InSbPt2 structure.

Cell: 6.6766 6.6766 6.6766 Å, 90.00 90.00 90.00°
With the nearest neighbours (Å) after each atom.
Atoms (fractional coordinates):
In 0.0000 0.0000 0.0000  4 Pt 2.89, 4 Sb 2.89
In 0.0000 0.5000 0.5000  4 Sb 2.89, 4 Pt 2.89
In 0.5000 0.0000 0.5000  4 Sb 2.89, 4 Pt 2.89
In 0.5000 0.5000 0.0000  4 Sb 2.89, 4 Pt 2.89
Sb 0.2500 0.2500 0.7500  4 In 2.89, 4 Pt 2.89
Sb 0.2500 0.7500 0.2500  4 In 2.89, 4 Pt 2.89
Sb 0.7500 0.2500 0.2500  4 In 2.89, 4 Pt 2.89
Sb 0.7500 0.7500 0.7500  4 In 2.89, 4 Pt 2.89
Pt 0.0000 0.0000 0.5000  4 Sb 2.89, 4 Pt 2.89
Pt 0.0000 0.5000 0.0000  4 Sb 2.89, 4 Pt 2.89
Pt 0.2500 0.2500 0.2500  4 In 2.89, 4 Pt 2.89
Pt 0.2500 0.7500 0.7500  4 In 2.89, 4 Pt 2.89
Pt 0.5000 0.0000 0.0000  4 Sb 2.89, 4 Pt 2.89
Pt 0.5000 0.5000 0.5000  4 Sb 2.89, 4 Pt 2.89
Pt 0.7500 0.2500 0.7500  4 In 2.89, 4 Pt 2.89
Pt 0.7500 0.7500 0.2500  4 In 2.89, 4 Pt 2.89

Properties
Its uncorrected formation energy is 0.33 eV/f.u. The density of states at the Fermi level comes out at 0.629 states/eV/atom. For the size of the total moment, the calculation gives 0.002 μB per cell. The volume comes out at 74 Å³/f.u.


VASP calculation (PBEsol) on a geometry-optimized Fe2CuN2 structure.

Cell: 2.9375 2.9375 6.7772 Å, 90.00 90.00 120.00°
With the nearest neighbours (Å) after each atom.
Atoms (fractional coordinates):
Fe 0.3333 0.6667 0.1575  3 N 1.76
Fe 0.6667 0.3333 0.8425  3 N 1.76
Cu 0.0000 0.0000 0.5000  2 N 1.86
N 0.0000 0.0000 0.2261  3 Fe 1.76, 1 Cu 1.86
N 0.0000 0.0000 0.7739  3 Fe 1.76, 1 Cu 1.86

Properties
Its uncorrected formation energy is -0.17 eV/f.u. The density of states at the Fermi level comes out at 0.490 states/eV/atom. For the size of the total moment, the calculation gives 0.000 μB per cell. The volume comes out at 51 Å³/f.u.


VASP calculation (PBEsol) on a geometry-optimized Na2S2O5 structure.

Cell: 9.1528 5.4603 22.9417 Å, 90.00 108.82 90.00°
With the nearest neighbours (Å) after each atom.
Atoms (fractional coordinates):
Na 0.0794 0.2182 0.0690  6 O 2.34-2.58
Na 0.0794 0.2818 0.5690  6 O 2.34-2.58
Na 0.1546 0.2323 0.7329  5 O 2.30-2.54
Na 0.1546 0.2677 0.2329  5 O 2.30-2.54
Na 0.3439 0.6794 0.5162  5 O 2.30-2.48
Na 0.3439 0.8206 0.0162  5 O 2.30-2.48
Na 0.4149 0.7368 0.6846  6 O 2.42-2.56
Na 0.4149 0.7632 0.1846  6 O 2.42-2.56
Na 0.5851 0.2368 0.8154  6 O 2.42-2.56
Na 0.5851 0.2632 0.3154  6 O 2.42-2.56
Na 0.6561 0.1794 0.9838  5 O 2.30-2.48
Na 0.6561 0.3206 0.4838  5 O 2.30-2.48
Na 0.8454 0.7323 0.7671  5 O 2.30-2.54
Na 0.8454 0.7677 0.2671  5 O 2.30-2.54
Na 0.9206 0.7182 0.4310  6 O 2.34-2.58
Na 0.9206 0.7818 0.9310  6 O 2.34-2.58
S 0.0244 0.7249 0.1500  3 O 1.48-1.49
S 0.0244 0.7751 0.6500  3 O 1.48-1.49
S 0.1805 0.1966 0.4392  2 O 1.50-1.51
S 0.1805 0.3034 0.9392  2 O 1.50-1.51
S 0.3236 0.7387 0.8099  2 O 1.50-1.51
S 0.3236 0.7613 0.3099  2 O 1.50-1.51
S 0.4679 0.2251 0.6022  3 O 1.48-1.49
S 0.4679 0.2749 0.1022  3 O 1.48-1.49
S 0.5321 0.7251 0.8978  3 O 1.48-1.49
S 0.5321 0.7749 0.3978  3 O 1.48-1.49
S 0.6764 0.2387 0.6901  2 O 1.50-1.51
S 0.6764 0.2613 0.1901  2 O 1.50-1.51
S 0.8195 0.6966 0.0608  2 O 1.50-1.51
S 0.8195 0.8034 0.5608  2 O 1.50-1.51
S 0.9756 0.2249 0.3500  3 O 1.48-1.49
S 0.9756 0.2751 0.8500  3 O 1.48-1.49
O 0.0224 0.1372 0.2976  1 S 1.48
O 0.0224 0.3628 0.7976  1 S 1.48
O 0.0673 0.5131 0.6550  1 S 1.48
O 0.0673 0.9869 0.1550  1 S 1.48
O 0.1333 0.1047 0.9752  1 S 1.51
O 0.1333 0.3953 0.4752  1 S 1.51
O 0.1477 0.5505 0.9604  1 S 1.50
O 0.1479 0.5664 0.1415  1 S 1.49
O 0.1479 0.9336 0.6415  1 S 1.49
O 0.1477 0.9495 0.4604  1 S 1.50
O 0.3497 0.1121 0.1135  1 S 1.49
O 0.3497 0.3879 0.6135  1 S 1.49
O 0.3578 0.5212 0.2850  1 S 1.50
O 0.3578 0.9788 0.7850  1 S 1.50
O 0.3649 0.5312 0.7749  1 S 1.51
O 0.3649 0.9688 0.2749  1 S 1.51
O 0.4203 0.5343 0.0947  1 S 1.48
O 0.4203 0.9657 0.5947  1 S 1.48
O 0.4855 0.6813 0.4497  1 S 1.48
O 0.4855 0.8187 0.9497  1 S 1.48
O 0.5145 0.1813 0.0503  1 S 1.48
O 0.5145 0.3187 0.5503  1 S 1.48
O 0.5797 0.0343 0.4053  1 S 1.48
O 0.5797 0.4657 0.9053  1 S 1.48
O 0.6351 0.0312 0.7251  1 S 1.51
O 0.6351 0.4688 0.2251  1 S 1.51
O 0.6422 0.0212 0.2150  1 S 1.50
O 0.6422 0.4788 0.7150  1 S 1.50
O 0.6503 0.6121 0.3865  1 S 1.49
O 0.6503 0.8879 0.8865  1 S 1.49
O 0.8523 0.0505 0.5396  1 S 1.50
O 0.8521 0.0664 0.3585  1 S 1.49
O 0.8521 0.4336 0.8585  1 S 1.49
O 0.8523 0.4495 0.0396  1 S 1.50
O 0.8667 0.6047 0.5248  1 S 1.51
O 0.8667 0.8953 0.0248  1 S 1.51
O 0.9327 0.0131 0.8450  1 S 1.48
O 0.9327 0.4869 0.3450  1 S 1.48
O 0.9776 0.6372 0.2024  1 S 1.48
O 0.9776 0.8628 0.7024  1 S 1.48

Properties
Its uncorrected formation energy is -14.00 eV/f.u. The density of states at the Fermi level comes out at 0.000 states/eV/atom. For the size of the total moment, the calculation gives 0.002 μB per cell. The volume comes out at 136 Å³/f.u.


VASP calculation (PBEsol) on a geometry-optimized Sc2BeTe structure.

Cell: 3.5625 3.5625 6.0652 Å, 90.00 90.00 90.00°
With the nearest neighbours (Å) after each atom.
Atoms (fractional coordinates):
Sc 0.0000 0.0000 0.2349  1 Sc 2.85, 4 Be 2.89, 4 Te 2.99
Sc 0.0000 0.0000 0.7651  1 Sc 2.85, 4 Be 2.89, 4 Te 2.99
Be 0.5000 0.5000 0.0000  8 Sc 2.89, 2 Te 3.03
Te 0.5000 0.5000 0.5000  8 Sc 2.99, 2 Be 3.03

Properties
Its uncorrected formation energy is -1.52 eV/f.u. The excess energy over the best structure of this formula in the dataset comes out at 151 meV per atom. The density of states at the Fermi level comes out at 0.899 states/eV/atom. For the size of the total moment, the calculation gives 0.000 μB per cell. The volume comes out at 77 Å³/f.u.


VASP calculation (PBEsol) on a geometry-optimized TlAg2Os structure.

Cell: 3.9642 3.9642 8.7730 Å, 90.00 90.00 90.00°
With the nearest neighbours (Å) after each atom.
Atoms (fractional coordinates):
Tl 0.0000 0.0000 0.0000  4 Os 2.80, 8 Ag 2.96
Tl 0.5000 0.5000 0.5000  4 Os 2.80, 8 Ag 2.96
Ag 0.0000 0.5000 0.2500  4 Ag 2.80, 4 Tl 2.96, 4 Os 2.96
Ag 0.0000 0.5000 0.7500  4 Ag 2.80, 4 Tl 2.96, 4 Os 2.96
Ag 0.5000 0.0000 0.2500  4 Ag 2.80, 4 Tl 2.96, 4 Os 2.96
Ag 0.5000 0.0000 0.7500  4 Ag 2.80, 4 Tl 2.96, 4 Os 2.96
Os 0.0000 0.0000 0.5000  4 Tl 2.80, 8 Ag 2.96
Os 0.5000 0.5000 0.0000  4 Tl 2.80, 8 Ag 2.96

Properties
The excess energy over the best structure of this formula in the dataset comes out at 91 meV per atom. The density of states at the Fermi level comes out at 0.792 states/eV/atom. For the size of the total moment, the calculation gives 1.005 μB per cell. The volume comes out at 69 Å³/f.u.


VASP calculation (PBEsol) on a geometry-optimized CrIn2Tc structure.

Cell: 3.1607 4.5752 9.3287 Å, 90.00 90.00 90.00°
With the nearest neighbours (Å) after each atom.
Atoms (fractional coordinates):
Cr 0.0000 0.0000 0.0000  2 Tc 2.42
Cr 0.5000 0.5000 0.5000  2 Tc 2.42
In 0.0000 0.0000 0.4612  4 Cr 2.80, 2 Tc 2.93, 4 In 3.05-3.07
In 0.0000 0.5000 0.2414  4 Tc 2.81, 2 Cr 2.88, 4 In 3.05-3.07
In 0.5000 0.0000 0.7414  4 Tc 2.81, 2 Cr 2.88, 4 In 3.05-3.07
In 0.5000 0.5000 0.9612  4 Cr 2.80, 2 Tc 2.93, 4 In 3.05-3.07
Tc 0.0000 0.5000 0.6964  2 Cr 2.42
Tc 0.5000 0.0000 0.1964  2 Cr 2.42

Properties
The excess energy over the best structure of this formula in the dataset comes out at 0 meV per atom. The density of states at the Fermi level comes out at 0.953 states/eV/atom. For the size of the total moment, the calculation gives 3.225 μB per cell. The volume comes out at 67 Å³/f.u.